{"formula": "Pm6SmHo5", "functional": "PBE", "state": "optimized geometry", "lattice_angstrom": [[4.892, 0.019, -1.427], [-1.387, 8.895, -4.632], [0.112, -0.810, 9.474]], "species": ["Ho", "Ho", "Ho", "Ho", "Ho", "Sm", "Pm", "Pm", "Pm", "Pm", "Pm", "Pm"], "fractional_positions": [[0.667, 0.167, 0.334], [0.333, 0.333, 0.666], [0.000, 0.500, 0.000], [0.667, 0.667, 0.334], [0.333, 0.833, 0.666], [0.000, 0.000, 0.000], [0.833, 0.582, 0.666], [0.833, 0.084, 0.666], [0.500, 0.749, 0.000], [0.500, 0.251, 0.000], [0.167, 0.916, 0.334], [0.167, 0.418, 0.334]], "total_energy_ev_per_cell": -55.924, "mass_density_g_cm3": 7.8, "ef_ev_per_atom": 0.0156, "spacegroup": "Immm, No. 71"}

=====

{"formula": "Pm7SmHo2", "functional": "PBE", "state": "optimized geometry", "lattice_angstrom": [[-0.180, 1.804, 5.405], [5.780, -6.795, 2.460], [2.966, 8.344, -2.686]], "species": ["Pm", "Pm", "Pm", "Pm", "Pm", "Pm", "Pm", "Sm", "Ho", "Ho"], "fractional_positions": [[0.000, 0.776, 0.224], [0.000, 0.224, 0.776], [0.500, 0.064, 0.294], [0.500, 0.936, 0.706], [0.500, 0.294, 0.064], [0.500, 0.706, 0.936], [0.500, 0.500, 0.500], [0.000, 0.000, 0.000], [0.500, 0.704, 0.296], [0.500, 0.296, 0.704]], "e_above_lowest_polymorph_ev_per_atom": 0.263, "total_energy_ev_per_cell": -40.625, "mass_density_g_cm3": 6.0, "ef_ev_per_atom": 0.6504, "spacegroup": "Cmmm, No. 65"}

=====

{"formula": "PmSm2Ho9", "functional": "PBE", "state": "optimized geometry", "lattice_angstrom": [[3.506, 0.000, 0.000], [0.000, 11.231, 0.000], [0.000, -5.616, 9.727]], "species": ["Pm", "Sm", "Sm", "Ho", "Ho", "Ho", "Ho", "Ho", "Ho", "Ho", "Ho", "Ho"], "fractional_positions": [[0.000, 0.000, 0.000], [0.000, 0.333, 0.667], [0.000, 0.667, 0.333], [0.000, 0.000, 0.500], [0.000, 0.500, 0.500], [0.000, 0.500, 0.000], [0.500, 0.352, 0.176], [0.500, 0.176, 0.824], [0.500, 0.176, 0.352], [0.500, 0.824, 0.648], [0.500, 0.824, 0.176], [0.500, 0.648, 0.824]], "e_above_lowest_polymorph_ev_per_atom": 0.033, "total_energy_ev_per_cell": -54.736, "mass_density_g_cm3": 8.4, "ef_ev_per_atom": 0.0544, "spacegroup": "P6/mmm, No. 191"}

=====

{"formula": "PmSm2Ho8", "functional": "PBE", "state": "optimized geometry", "lattice_angstrom": [[-5.428, -0.107, -1.127], [1.615, -8.839, -4.616], [0.232, -9.869, 2.142]], "species": ["Pm", "Sm", "Sm", "Ho", "Ho", "Ho", "Ho", "Ho", "Ho", "Ho", "Ho"], "fractional_positions": [[0.000, 0.000, 0.000], [0.749, 0.284, 0.284], [0.251, 0.716, 0.716], [0.268, 0.135, 0.603], [0.268, 0.603, 0.135], [0.732, 0.865, 0.397], [0.238, 0.546, 0.546], [0.732, 0.397, 0.865], [0.233, 0.187, 0.187], [0.767, 0.813, 0.813], [0.762, 0.454, 0.454]], "e_above_lowest_polymorph_ev_per_atom": 0.044, "total_energy_ev_per_cell": -49.077, "mass_density_g_cm3": 8.0, "ef_ev_per_atom": 0.1576, "spacegroup": "C2/m, No. 12"}

=====

{"formula": "Pm8Sm6Ho", "functional": "PBE", "state": "optimized geometry", "lattice_angstrom": [[6.650, 0.000, 0.000], [0.000, 8.218, -4.745], [0.000, 0.000, 9.489]], "species": ["Pm", "Pm", "Pm", "Pm", "Pm", "Pm", "Pm", "Pm", "Sm", "Sm", "Sm", "Sm", "Sm", "Sm", "Ho"], "fractional_positions": [[0.836, 0.030, 0.282], [0.836, 0.718, 0.748], [0.836, 0.252, 0.970], [0.164, 0.970, 0.718], [0.164, 0.282, 0.252], [0.164, 0.748, 0.030], [0.887, 0.333, 0.667], [0.113, 0.667, 0.333], [0.659, 0.654, 0.087], [0.659, 0.913, 0.567], [0.659, 0.433, 0.346], [0.341, 0.346, 0.913], [0.341, 0.087, 0.433], [0.341, 0.567, 0.654], [0.500, 0.000, 0.000]], "total_energy_ev_per_cell": -68.401, "mass_density_g_cm3": 7.1, "ef_ev_per_atom": 0.1665, "spacegroup": "P-3, No. 147"}

=====

{"formula": "Pm2Sm5Ho", "functional": "PBE", "state": "optimized geometry", "lattice_angstrom": [[-2.568, 4.323, 0.888], [-2.722, -0.238, -6.712], [-11.289, -7.702, 4.852]], "species": ["Pm", "Pm", "Pm", "Pm", "Sm", "Sm", "Sm", "Sm", "Sm", "Sm", "Sm", "Sm", "Sm", "Sm", "Ho", "Ho"], "fractional_positions": [[0.500, 0.249, 0.624], [0.500, 0.751, 0.376], [0.500, 0.251, 0.124], [0.500, 0.749, 0.876], [0.000, 0.000, 0.000], [0.000, 0.500, 0.500], [0.000, 0.500, 0.751], [0.000, 0.500, 0.249], [0.000, 0.000, 0.251], [0.000, 0.000, 0.749], [0.500, 0.250, 0.875], [0.500, 0.750, 0.125], [0.500, 0.250, 0.375], [0.500, 0.750, 0.625], [0.000, 0.000, 0.500], [0.000, 0.500, 0.000]], "e_above_lowest_polymorph_ev_per_atom": 0.000, "total_energy_ev_per_cell": -75.110, "mass_density_g_cm3": 7.5, "ef_ev_per_atom": 0.0150, "spacegroup": "Pbam, No. 55"}